[1]
# CeThTlOs GGA-PBE relaxed
data_CeThTlOs
_chemical_formula_sum 'Ce1 Th1 Tl1 Os1'
_cell_length_a 3.360
_cell_length_b 3.360
_cell_length_c 8.938
_cell_angle_alpha 90.00
_cell_angle_beta 90.00
_cell_angle_gamma 90.00
_symmetry_space_group_name_H-M 'P 4 m m'
_symmetry_Int_Tables_number 99
loop_
_symmetry_equiv_pos_as_xyz
'x,y,z'
'-y,x,z'
'-x,-y,z'
'y,-x,z'
'-x,y,z'
'y,x,z'
'x,-y,z'
'-y,-x,z'
loop_
_atom_site_label
_atom_site_fract_x
_atom_site_fract_y
_atom_site_fract_z
_atom_site_occupancy
Ce1 0.000 0.000 0.000 1
Th1 0.000 0.000 0.587 1
Tl1 0.500 0.500 0.289 1
Os1 0.500 0.500 0.797 1
# total DFT energy (no corrections) = -6.971 eV per atom
# total magnetization = 0.14 Bohr magnetons per cell
# crystal system = tetragonal

[2]
# Zn3InCu7 GGA-PBE relaxed
data_Zn3InCu7
_chemical_formula_sum 'Zn6 In2 Cu14'
_cell_length_a 8.260
_cell_length_b 8.782
_cell_length_c 4.934
_cell_angle_alpha 90.00
_cell_angle_beta 113.06
_cell_angle_gamma 90.00
_symmetry_space_group_name_H-M 'C 1 2/m 1'
_symmetry_Int_Tables_number 12
loop_
_symmetry_equiv_pos_as_xyz
'x,y,z'
'-x,-y,-z'
'-x,y,-z'
'x,-y,z'
'x+1/2,y+1/2,z'
'-x+1/2,-y+1/2,-z'
'-x+1/2,y+1/2,-z'
'x+1/2,-y+1/2,z'
loop_
_atom_site_label
_atom_site_fract_x
_atom_site_fract_y
_atom_site_fract_z
_atom_site_occupancy
Zn1 0.000 0.000 0.000 1
Zn2 0.000 0.213 0.500 1
In1 0.000 0.500 0.000 1
Cu1 0.000 0.500 0.500 1
Cu2 0.183 0.233 0.192 1
Cu3 0.207 0.000 0.527 1
# total DFT energy (no corrections) = -3.039 eV per atom
# total magnetization = 0.00 Bohr magnetons per cell
# crystal system = monoclinic

[3]
# TiSbBr2 GGA-PBE relaxed
data_TiSbBr2
_chemical_formula_sum 'Ti3 Sb3 Br6'
_cell_length_a 3.3587
_cell_length_b 3.3587
_cell_length_c 35.2755
_cell_angle_alpha 90.00
_cell_angle_beta 90.00
_cell_angle_gamma 120.00
_symmetry_space_group_name_H-M 'R -3 m'
_symmetry_Int_Tables_number 166
_symmetry_space_group_name_Hall '-R 3 2"'
loop_
_atom_site_label
_atom_site_fract_x
_atom_site_fract_y
_atom_site_fract_z
_atom_site_occupancy
Ti1 0.0000 0.0000 0.0000 1
Sb1 0.0000 0.0000 0.5000 1
Br1 0.0000 0.0000 0.3828 1
# total DFT energy (no corrections) = -4.386 eV per atom
# total magnetization = 0.00 Bohr magnetons per cell
# crystal system = trigonal

[4]
# K2ScRh GGA-PBE relaxed
data_K2ScRh
_chemical_formula_sum 'K2 Sc1 Rh1'
_cell_length_a 3.597
_cell_length_b 3.762
_cell_length_c 10.640
_cell_angle_alpha 90.00
_cell_angle_beta 99.47
_cell_angle_gamma 90.00
_symmetry_space_group_name_H-M 'P 1 m 1'
_symmetry_Int_Tables_number 6
loop_
_symmetry_equiv_pos_as_xyz
'x,y,z'
'x,-y,z'
loop_
_atom_site_label
_atom_site_fract_x
_atom_site_fract_y
_atom_site_fract_z
_atom_site_occupancy
K1 0.000 0.000 0.000 1
K2 0.291 0.500 0.611 1
Sc1 0.650 0.000 0.316 1
Rh1 0.135 0.500 0.285 1
# total DFT energy (no corrections) = -3.998 eV per atom
# total magnetization = 0.00 Bohr magnetons per cell
# crystal system = monoclinic

[5]
# PmSmO GGA-PBE relaxed
data_PmSmO
_chemical_formula_sum 'Pm1 Sm1 O1'
_cell_length_a 3.6437
_cell_length_b 3.6437
_cell_length_c 5.9884
_cell_angle_alpha 90.00
_cell_angle_beta 90.00
_cell_angle_gamma 120.00
_symmetry_space_group_name_H-M 'P 3 m 1'
_symmetry_Int_Tables_number 156
loop_
_symmetry_equiv_pos_as_xyz
'x,y,z'
'-y,x-y,z'
'-x+y,-x,z'
'-y,-x,z'
'-x+y,y,z'
'x,x-y,z'
loop_
_atom_site_label
_atom_site_fract_x
_atom_site_fract_y
_atom_site_fract_z
_atom_site_occupancy
Pm1 0.0000 0.0000 0.0000 1
Sm1 0.3333 0.6667 0.4586 1
O1 0.6667 0.3333 0.2338 1
# total DFT energy (no corrections) = -6.528 eV per atom
# total magnetization = 0.00 Bohr magnetons per cell
# crystal system = trigonal

[6]
# HgMoBr2N GGA-PBE relaxed
data_HgMoBr2N
_chemical_formula_sum 'Hg1 Mo1 Br2 N1'
_cell_length_a 5.473
_cell_length_b 5.473
_cell_length_c 5.836
_cell_angle_alpha 90.00
_cell_angle_beta 90.00
_cell_angle_gamma 90.00
_symmetry_space_group_name_H-M 'P 4/m m m'
_symmetry_Int_Tables_number 123
_symmetry_space_group_name_Hall '-P 4 2'
loop_
_atom_site_label
_atom_site_fract_x
_atom_site_fract_y
_atom_site_fract_z
_atom_site_occupancy
Hg1 0.000 0.000 0.000 1
Mo1 0.000 0.000 0.500 1
Br1 0.000 0.500 0.000 1
N1 0.500 0.500 0.500 1
# total DFT energy (no corrections) = -2.568 eV per atom
# total magnetization = 4.34 Bohr magnetons per cell
# crystal system = tetragonal

Look up the total magnetization of the third one.
0.00 Bohr magnetons per cell

Which formula does entry 1 have?
CeThTlOs